# 1
Here is a relaxed structure of SnGe2SBr from Alexandria. Energies are from PBE.

Properties
- E_form (uncorrected): 4.1 eV/f.u.
- Space group: No. 123

The structure in POSCAR format:
```
SnGe2SBr
1.0
-0.853 -2.717 -4.300
0.206 -4.421 2.753
-5.083 0.281 0.831
S Br Ge Sn
1 1 2 1
direct
0.000 0.500 0.000
0.000 0.000 0.000
0.000 0.000 0.500
0.500 0.000 0.000
0.500 0.500 0.500
```



# 2
Here is a relaxed structure of Sr2Cd6Ag from Alexandria. Energies are from PBE.

Properties
- Energy relative to the elements: -245 meV per atom
- Space group: No. 12

The structure in POSCAR format:
```
Sr2Cd6Ag
1.0
6.499 0.000 0.000
-3.249 5.578 0.604
0.000 -0.684 6.534
Cd Sr Ag
6 2 1
direct
0.176 0.825 0.329
0.175 0.350 0.329
0.825 0.650 0.671
0.824 0.175 0.671
0.649 0.825 0.329
0.351 0.175 0.671
0.333 0.666 0.853
0.667 0.334 0.147
0.000 0.000 0.000
```



# 3
Here is a relaxed structure of TmMn2Be9 from Alexandria. Energies are from PBE.

Properties
- Energy relative to the elements: -160 meV per atom
- Space group: No. 166

The structure in POSCAR format:
```
TmMn2Be9
1.0
-0.182 4.146 -1.393
-3.102 1.222 -2.837
-5.349 3.399 3.935
Tm Be Mn
1 9 2
direct
0.000 0.000 0.000
0.917 0.408 0.266
0.408 0.917 0.266
0.592 0.083 0.734
0.083 0.592 0.734
0.592 0.592 0.734
0.500 0.500 0.500
0.666 0.666 0.001
0.334 0.334 0.999
0.408 0.408 0.266
0.853 0.853 0.440
0.147 0.147 0.560
```